Material: Na2MnOsBr
Method: DFT, PBE
State: relaxed

a b c (Å): 5.7113 5.7113 4.5780
angles (deg): 90.00 90.00 90.00
With the nearest neighbours (Å) after each atom.
Element x y z (fractional)
1 Na 0.0000 0.5000 0.0000  2 Mn 2.86
2 Na 0.5000 0.0000 0.0000  2 Mn 2.86
3 Mn 0.0000 0.0000 0.0000  2 Br 2.29
4 Os 0.5000 0.5000 0.5000  8 Na 3.66, 4 Br 4.04
5 Br 0.0000 0.0000 0.5000  2 Mn 2.29

Calculated values
For the density of states at the Fermi level, the calculation gives 5.5 states/eV/f.u. The space group is P4/mmm (123). For the uncorrected formation energy, the calculation gives 1.425 eV/atom. The calculation puts the electronic total energy at -17.6 eV per formula unit. Its total magnetization is 6.4 Bohr magnetons per cell.